Material: NaCo4Cu3O12
Method: DFT, PBE+U
State: relaxed

Properties
density of states at the Fermi level = 0.74 states/eV per atom
total energy = -5.4108 eV/atom

Cell: 6.2370 6.2370 6.2370 Å, 109.47 109.47 109.47°
Fractional positions:
Na: 0.0000 0.0000 0.0000
Co: 0.0000 0.0000 0.5000
Co: 0.0000 0.5000 0.0000
Co: 0.5000 0.0000 0.0000
Co: 0.5000 0.5000 0.5000
Cu: 0.0000 0.5000 0.5000
Cu: 0.5000 0.0000 0.5000
Cu: 0.5000 0.5000 0.0000
O: 0.1341 0.3118 0.8224
O: 0.1776 0.4894 0.3118
O: 0.1776 0.8659 0.6882
O: 0.3118 0.1776 0.4894
O: 0.3118 0.8224 0.1341
O: 0.4894 0.3118 0.1776
O: 0.5106 0.6882 0.8224
O: 0.6882 0.1776 0.8659
O: 0.6882 0.8224 0.5106
O: 0.8224 0.1341 0.3118
O: 0.8224 0.5106 0.6882
O: 0.8659 0.6882 0.1776